Computed, not measured: an optimized crystal structure of Pm7Ga2Cu2 at the PBE-GGA level of DFT.

Computed properties:
E_form: -0.85 eV per formula unit
Magnetization: 0.0 μB/f.u.
Uncorrected energy: -4.40 eV per atom

a = 6.838 Å, b = 6.838 Å, c = 7.111 Å
α = 90.00°, β = 90.00°, γ = 109.58°
Element x y z (fractional)
Pm 0.000 0.000 0.000
Pm 0.000 0.500 0.269
Pm 0.000 0.500 0.731
Pm 0.500 0.000 0.269
Pm 0.500 0.000 0.731
Pm 0.500 0.500 0.258
Pm 0.500 0.500 0.742
Ga 0.162 0.162 0.500
Ga 0.838 0.838 0.500
Cu 0.293 0.707 0.000
Cu 0.707 0.293 0.000


Computed, not measured: an optimized crystal structure of Li4TmTh3Se8 at the PBE-GGA level of DFT.

Computed properties:
Formation energy without anion corrections: -1.52 eV/atom
Magnetization: 0.0 μB/f.u.
Uncorrected energy: -5.41 eV per atom

a = 8.154 Å, b = 8.154 Å, c = 8.154 Å
α = 59.76°, β = 59.76°, γ = 59.76°
Element x y z (fractional)
Li 0.000 0.000 0.000
Li 0.000 0.500 0.500
Li 0.500 0.000 0.500
Li 0.500 0.500 0.000
Tm 0.500 0.500 0.500
Th 0.000 0.000 0.500
Th 0.000 0.500 0.000
Th 0.500 0.000 0.000
Se 0.251 0.251 0.736
Se 0.251 0.736 0.251
Se 0.258 0.258 0.258
Se 0.264 0.749 0.749
Se 0.736 0.251 0.251
Se 0.742 0.742 0.742
Se 0.749 0.264 0.749
Se 0.749 0.749 0.264


Computed, not measured: an optimized crystal structure of SrLiTlAg at the PBE-GGA level of DFT.

Computed properties:
E_form: -1.02 eV per formula unit
Magnetization: 0.0 μB/f.u.
Uncorrected energy: -2.46 eV per atom

a = 8.266 Å, b = 4.779 Å, c = 6.237 Å
α = 90.00°, β = 116.35°, γ = 90.00°
Element x y z (fractional)
Sr 0.000 0.000 0.000
Sr 0.500 0.500 0.000
Li 0.017 0.500 0.551
Li 0.517 0.000 0.551
Tl 0.293 0.500 0.379
Tl 0.793 0.000 0.379
Ag 0.201 0.000 0.602
Ag 0.701 0.500 0.602


Computed, not measured: an optimized crystal structure of CaMgRh2 at the PBE-GGA level of DFT.

Computed properties:
E_form: -1.10 eV per formula unit
Magnetization: 0.0 μB/f.u.
Uncorrected energy: -4.85 eV per atom

a = 3.112 Å, b = 4.623 Å, c = 10.069 Å
α = 90.00°, β = 90.00°, γ = 90.00°
Element x y z (fractional)
Ca 0.000 0.000 0.000
Ca 0.500 0.500 0.500
Mg 0.000 0.500 0.785
Mg 0.500 0.000 0.285
Rh 0.000 0.000 0.521
Rh 0.000 0.500 0.237
Rh 0.500 0.000 0.737
Rh 0.500 0.500 0.021